First-principles (PBE-GGA) data for Hg2Bi2Rh after structural relaxation, as listed in Alexandria.

```
Hg2Bi2Rh
1.0
-1.6711 -4.0952 5.5064
-4.6071 -3.5307 -4.0240
3.9779 -3.5540 -1.4360
Hg Bi Rh
4 4 2
direct
0.6785 0.8215 0.5000
0.3215 0.1785 0.5000
0.8215 0.3215 0.5000
0.1785 0.6785 0.5000
0.6572 0.1572 0.0000
0.3428 0.8428 0.0000
0.8428 0.6572 0.0000
0.1572 0.3428 0.0000
0.5000 0.5000 0.0000
0.0000 0.0000 0.0000
```

**N(E_F)**: 7.57 states/eV per cell
**DFT total energy**: -29.9 eV per cell
**Calculated density**: 11.1 g/cm3
**M_tot**: 0.0 μB/cell
**Formation energy from the elements**: 0.152 eV/atom